one | ## HgGe2N (PBE)

Data for HgGe2N after structural relaxation.

Lattice parameters (Å, degrees): 5.5976 5.5976 6.4043 64.09 64.09 90.00
Positions (direct):
Ge  0.5357  0.1250  0.2500
Ge  0.2143  0.6250  0.2500
Ge  0.3750  0.4643  0.7500
Ge  0.8750  0.7857  0.7500
Hg  0.0000  0.0000  0.0000
Hg  0.7500  0.2500  0.5000
N  0.5000  0.5000  0.0000
N  0.2500  0.7500  0.5000

Calculated values
- crystal system = tetragonal
- volume (Å³/atom) = 19.72
- SG = I-42d

two | ## HgGe2N (PBE)

Data for HgGe2N after structural relaxation.

Lattice parameters (Å, degrees): 4.6238 4.6238 4.6238 60.00 60.00 60.00
Positions (direct):
Ge  0.2500  0.2500  0.2500
Ge  0.7500  0.7500  0.7500
Hg  0.5000  0.5000  0.5000
N  0.0000  0.0000  0.0000

Calculated values
- crystal system = cubic
- volume (Å³/atom) = 17.48
- SG = Fm-3m

Name the least stable of them. two.

one | ## Hg2GeN (PBE)

Data for Hg2GeN after structural relaxation.

Lattice parameters (Å, degrees): 6.2290 6.2290 6.3231 60.49 60.49 90.00
Positions (direct):
Ge  0.0000  0.0000  0.0000
Ge  0.7500  0.2500  0.5000
Hg  0.5572  0.1250  0.2500
Hg  0.1928  0.6250  0.2500
Hg  0.3750  0.4428  0.7500
Hg  0.8750  0.8072  0.7500
N  0.5000  0.5000  0.0000
N  0.2500  0.7500  0.5000

Calculated values
- crystal system = tetragonal
- volume (Å³/atom) = 22.00
- SG = I-42d

two | ## Hg2GeN (PBE)

Data for Hg2GeN after structural relaxation.

Lattice parameters (Å, degrees): 4.7416 4.7416 4.7416 60.00 60.00 60.00
Last column: magnetic moment on the atom in μB.
Positions (direct):
Ge  0.5000  0.5000  0.5000  -0.05
Hg  0.2500  0.2500  0.2500  0.03
Hg  0.7500  0.7500  0.7500  0.03
N  0.0000  0.0000  0.0000  0.75

Calculated values
- crystal system = cubic
- volume (Å³/atom) = 18.85
- SG = Fm-3m

Name the least stable of them. two.

one | ## HgGeS2N (PBE)

Data for HgGeS2N after structural relaxation.

Lattice parameters (Å, degrees): 4.9845 4.9845 3.6128 90.00 90.00 90.00
Positions (direct):
S  0.0000  0.5000  0.0000
S  0.5000  0.0000  0.0000
Ge  0.0000  0.0000  0.0000
Hg  0.5000  0.5000  0.5000
N  0.0000  0.0000  0.5000

Calculated values
- crystal system = tetragonal
- volume (Å³/atom) = 17.95
- SG = P4/mmm

two | ## HgGeS2N (PBE)

Data for HgGeS2N after structural relaxation.

Lattice parameters (Å, degrees): 5.1392 5.1392 4.1225 90.00 90.00 90.00
Last column: magnetic moment on the atom in μB.
Positions (direct):
S  0.0000  0.5000  0.0000  0.12
S  0.5000  0.0000  0.0000  0.12
Ge  0.5000  0.5000  0.5000  -0.01
Hg  0.0000  0.0000  0.0000  0.07
N  0.0000  0.0000  0.5000  1.10

Calculated values
- crystal system = tetragonal
- volume (Å³/atom) = 21.78
- SG = P4/mmm

Name the least stable of them. two.

one | ## HgGeSe2N (PBE)

Data for HgGeSe2N after structural relaxation.

Lattice parameters (Å, degrees): 5.3794 5.3794 4.1322 90.00 90.00 90.00
Last column: magnetic moment on the atom in μB.
Positions (direct):
Ge  0.5000  0.5000  0.5000  -0.01
Hg  0.0000  0.0000  0.0000  0.06
Se  0.0000  0.5000  0.0000  0.14
Se  0.5000  0.0000  0.0000  0.14
N  0.0000  0.0000  0.5000  1.07

Calculated values
- crystal system = tetragonal
- volume (Å³/atom) = 23.91
- SG = P4/mmm

two | ## HgGeSe2N (PBE)

Data for HgGeSe2N after structural relaxation.

Lattice parameters (Å, degrees): 5.3730 5.3730 3.5188 90.00 90.00 90.00
Positions (direct):
Ge  0.0000  0.0000  0.0000
Hg  0.5000  0.5000  0.5000
Se  0.0000  0.5000  0.0000
Se  0.5000  0.0000  0.0000
N  0.0000  0.0000  0.5000

Calculated values
- crystal system = tetragonal
- volume (Å³/atom) = 20.32
- SG = P4/mmm

Name the least stable of them. one.

one | ## Na3HgGe (PBE)

Data for Na3HgGe after structural relaxation.

Lattice parameters (Å, degrees): 8.4037 8.4037 6.3257 110.30 115.75 114.33
Positions (direct):
Na  0.7687  0.0607  0.2741
Na  0.2133  0.5054  0.2741
Na  0.7867  0.4946  0.7259
Na  0.6810  0.4582  0.1392
Na  0.2313  0.9393  0.7259
Na  0.3190  0.5418  0.8608
Hg  0.7929  0.8517  0.6446
Hg  0.2071  0.1483  0.3554
Ge  0.6711  0.1037  0.7749
Ge  0.3289  0.8963  0.2251

Calculated values
- crystal system = monoclinic
- volume (Å³/atom) = 28.15
- SG = C2/m

two | ## Na3HgGe (PBE)

Data for Na3HgGe after structural relaxation.

Lattice parameters (Å, degrees): 4.8352 5.7893 10.5331 97.39 90.00 114.68
Positions (direct):
Na  0.1111  0.2222  0.3991
Na  0.8889  0.7778  0.6009
Na  0.4561  0.9122  0.1390
Na  0.5439  0.0878  0.8610
Na  0.2201  0.4401  0.7416
Na  0.7799  0.5599  0.2584
Hg  0.8506  0.7011  0.9442
Hg  0.1494  0.2989  0.0558
Ge  0.5898  0.1796  0.5839
Ge  0.4102  0.8204  0.4161

Calculated values
- crystal system = monoclinic
- volume (Å³/atom) = 26.52
- SG = C2/m

Name the least stable of them. one.

one | ## Nb2Hg2Ge (PBE)

Data for Nb2Hg2Ge after structural relaxation.

Lattice parameters (Å, degrees): 8.6197 8.6197 2.9095 90.00 90.00 90.00
Positions (direct):
Nb  0.1084  0.6084  0.5000
Nb  0.6084  0.8916  0.5000
Nb  0.8916  0.3916  0.5000
Nb  0.3916  0.1084  0.5000
Ge  0.0000  0.0000  0.0000
Ge  0.5000  0.5000  0.0000
Hg  0.3141  0.8141  0.0000
Hg  0.8141  0.6859  0.0000
Hg  0.6859  0.1859  0.0000
Hg  0.1859  0.3141  0.0000

Calculated values
- crystal system = tetragonal
- volume (Å³/atom) = 21.62
- SG = P4/mbm

two | ## Nb2Hg2Ge (PBE)

Data for Nb2Hg2Ge after structural relaxation.

Lattice parameters (Å, degrees): 3.8110 3.8110 7.9705 76.17 76.17 90.00
Positions (direct):
Nb  0.7500  0.2500  0.5000
Nb  0.2500  0.7500  0.5000
Ge  0.0000  0.0000  0.0000
Hg  0.4039  0.4039  0.1922
Hg  0.5961  0.5961  0.8078

Calculated values
- crystal system = tetragonal
- volume (Å³/atom) = 21.79
- SG = I4/mmm

Name the least stable of them. two.

one | ## NiHgGe3 (PBE)

Data for NiHgGe3 after structural relaxation.

Lattice parameters (Å, degrees): 5.1447 5.1447 5.1447 90.00 90.00 90.00
Positions (direct):
Ni  0.5000  0.5000  0.5000
Ge  0.0000  0.5000  0.0000
Ge  0.0000  0.0000  0.5000
Ge  0.5000  0.0000  0.0000
Hg  0.0000  0.0000  0.0000

Calculated values
- crystal system = cubic
- volume (Å³/atom) = 27.23
- SG = Pm-3m

two | ## NiHgGe3 (PBE)

Data for NiHgGe3 after structural relaxation.

Lattice parameters (Å, degrees): 4.6758 4.6758 4.6758 90.00 90.00 90.00
Positions (direct):
Ni  0.0000  0.0000  0.0000
Ge  0.0000  0.5000  0.0000
Ge  0.0000  0.0000  0.5000
Ge  0.5000  0.0000  0.0000
Hg  0.5000  0.5000  0.5000

Calculated values
- crystal system = cubic
- volume (Å³/atom) = 20.44
- SG = Pm-3m

Name the least stable of them. one.

one | ## HgGeO2 (PBE)

Data for HgGeO2 after structural relaxation.

Lattice parameters (Å, degrees): 6.6913 6.6913 6.6913 28.94 28.94 28.94
Positions (direct):
Ge  0.0000  0.0000  0.0000
Hg  0.5000  0.5000  0.5000
O  0.9043  0.9043  0.9043
O  0.0957  0.0957  0.0957

Calculated values
- crystal system = trigonal
- volume (Å³/atom) = 15.51
- SG = R-3m

two | ## HgGeO2 (PBE)

Data for HgGeO2 after structural relaxation.

Lattice parameters (Å, degrees): 5.7446 5.7446 5.7480 60.02 60.02 90.00
Positions (direct):
Ge  0.5000  0.5000  0.0000
Ge  0.2500  0.7500  0.5000
Hg  0.0000  0.0000  0.0000
Hg  0.7500  0.2500  0.5000
O  0.3729  0.1250  0.2500
O  0.3771  0.6250  0.2500
O  0.3750  0.6271  0.7500
O  0.8750  0.6229  0.7500

Calculated values
- crystal system = tetragonal
- volume (Å³/atom) = 16.78
- SG = I-42d

Name the least stable of them. one.

one | ## HgGeO2 (PBE)

Data for HgGeO2 after structural relaxation.

Lattice parameters (Å, degrees): 4.2158 4.2158 4.2158 60.00 60.00 60.00
Positions (direct):
Ge  0.0000  0.0000  0.0000
Hg  0.5000  0.5000  0.5000
O  0.2500  0.2500  0.2500
O  0.7500  0.7500  0.7500

Calculated values
- crystal system = cubic
- volume (Å³/atom) = 13.25
- SG = Fm-3m

two | ## HgGeO2 (PBE)

Data for HgGeO2 after structural relaxation.

Lattice parameters (Å, degrees): 8.7844 8.7844 8.7844 19.47 19.47 19.47
Positions (direct):
Ge  0.5000  0.5000  0.5000
Hg  0.0000  0.0000  0.0000
O  0.8709  0.8709  0.8709
O  0.1291  0.1291  0.1291

Calculated values
- crystal system = trigonal
- volume (Å³/atom) = 16.46
- SG = R-3m

Name the least stable of them. one.

one | ## Hg3GeO4 (PBE)

Data for Hg3GeO4 after structural relaxation.

Lattice parameters (Å, degrees): 10.5029 5.7842 8.0169 44.50 32.84 39.57
Positions (direct):
Ge  0.4694  0.4804  0.5127
Hg  0.9261  0.6858  0.6701
Hg  0.8369  0.9283  0.0935
Hg  0.2615  0.4708  0.1637
O  0.5368  0.0934  0.5050
O  0.1371  0.8072  0.6580
O  0.5209  0.3134  0.7495
O  0.6603  0.7208  0.1475

Calculated values
- crystal system = triclinic
- volume (Å³/atom) = 20.65
- SG = P1

two | ## Hg3GeO4 (PBE)

Data for Hg3GeO4 after structural relaxation.

Lattice parameters (Å, degrees): 5.7869 5.8129 7.9416 90.00 90.00 90.00
Positions (direct):
Hg  0.5199  0.7340  0.0000
Hg  0.0068  0.6560  0.2728
Hg  0.5068  0.3440  0.2272
Hg  0.0199  0.2660  0.5000
Hg  0.5068  0.3440  0.7728
Hg  0.0068  0.6560  0.7272
Ge  0.9981  0.1197  0.0000
Ge  0.4981  0.8803  0.5000
O  0.0786  0.8187  0.0000
O  0.6844  0.1271  0.0000
O  0.1103  0.2534  0.1843
O  0.6103  0.7466  0.3157
O  0.1844  0.8729  0.5000
O  0.5786  0.1813  0.5000
O  0.6103  0.7466  0.6843
O  0.1103  0.2534  0.8157

Calculated values
- crystal system = orthorhombic
- volume (Å³/atom) = 16.70
- SG = Pmn2_1

Name the least stable of them. two.

one | ## HgGe2O (PBE)

Data for HgGe2O after structural relaxation.

Lattice parameters (Å, degrees): 5.0116 5.0116 7.4383 70.31 70.31 90.00
Positions (direct):
Ge  0.4943  0.1250  0.2500
Ge  0.2557  0.6250  0.2500
Ge  0.3750  0.5057  0.7500
Ge  0.8750  0.7443  0.7500
Hg  0.0000  0.0000  0.0000
Hg  0.7500  0.2500  0.5000
O  0.5000  0.5000  0.0000
O  0.2500  0.7500  0.5000

Calculated values
- crystal system = tetragonal
- volume (Å³/atom) = 20.53
- SG = I-42d

two | ## HgGe2O (PBE)

Data for HgGe2O after structural relaxation.

Lattice parameters (Å, degrees): 4.6035 4.6035 4.6035 60.00 60.00 60.00
Positions (direct):
Ge  0.2500  0.2500  0.2500
Ge  0.7500  0.7500  0.7500
Hg  0.5000  0.5000  0.5000
O  0.0000  0.0000  0.0000

Calculated values
- crystal system = cubic
- volume (Å³/atom) = 17.25
- SG = Fm-3m

Name the least stable of them. two.

one | ## HgGePO2 (PBE)

Data for HgGePO2 after structural relaxation.

Lattice parameters (Å, degrees): 3.7188 3.7188 5.3696 90.00 90.00 90.00
Last column: magnetic moment on the atom in μB.
Positions (direct):
P  0.0000  0.0000  0.5000  0.01
Ge  0.0000  0.0000  0.0000  0.00
Hg  0.5000  0.5000  0.5000  0.00
O  0.0000  0.5000  0.0000  0.08
O  0.5000  0.0000  0.0000  0.08

Calculated values
- crystal system = tetragonal
- volume (Å³/atom) = 14.85
- SG = P4/mmm

two | ## HgGePO2 (PBE)

Data for HgGePO2 after structural relaxation.

Lattice parameters (Å, degrees): 4.1436 4.1436 5.1295 90.00 90.00 90.00
Positions (direct):
P  0.0000  0.0000  0.5000
Ge  0.5000  0.5000  0.5000
Hg  0.0000  0.0000  0.0000
O  0.0000  0.5000  0.0000
O  0.5000  0.0000  0.0000

Calculated values
- crystal system = tetragonal
- volume (Å³/atom) = 17.61
- SG = P4/mmm

Name the least stable of them. two.

one | ## HgGe2P (PBE)

Data for HgGe2P after structural relaxation.

Lattice parameters (Å, degrees): 3.6728 3.6728 7.4076 75.65 75.65 60.00
Positions (direct):
P  0.0000  0.0000  0.0000
Ge  0.2647  0.2647  0.2058
Ge  0.7353  0.7353  0.7942
Hg  0.5000  0.5000  0.5000

Calculated values
- crystal system = trigonal
- volume (Å³/atom) = 20.73
- SG = R-3m

two | ## HgGe2P (PBE)

Data for HgGe2P after structural relaxation.

Lattice parameters (Å, degrees): 4.8374 4.8374 4.8374 60.00 60.00 60.00
Positions (direct):
P  0.0000  0.0000  0.0000
Ge  0.2500  0.2500  0.2500
Ge  0.7500  0.7500  0.7500
Hg  0.5000  0.5000  0.5000

Calculated values
- crystal system = cubic
- volume (Å³/atom) = 20.01
- SG = Fm-3m

Name the least stable of them. two.